Material: CaTcPb
Method: DFT, PBE-GGA
State: optimized geometry

```
CaTcPb
1.0
-5.256 -1.374 -2.390
-3.700 -4.444 -1.340
-2.378 -0.287 2.686
Pb Ca Tc
1 1 1
direct
0.305 0.305 0.695
0.008 0.008 0.992
0.687 0.687 0.313
```

Results
For the density of states at the Fermi level, the calculation gives 0.52 states/eV per atom. For the total moment, the calculation gives 0.88 μB/f.u. For the distance to the lowest polymorph of the same formula, the calculation gives 0.00 eV/f.u. For the total energy, the calculation gives -15.19 eV per cell.



Material: Cs12Bi3Br5
Method: DFT, PBE-GGA
State: optimized geometry

```
Cs12Bi3Br5
1.0
-7.275 -5.618 16.625
-10.777 -6.601 -14.182
17.661 -6.762 -1.792
Bi Br Cs
12 20 48
direct
0.750 0.375 0.125
0.875 0.750 0.125
0.375 0.750 0.625
0.250 0.125 0.375
0.875 0.125 0.250
0.375 0.625 0.250
0.625 0.375 0.750
0.125 0.875 0.750
0.750 0.875 0.625
0.625 0.250 0.375
0.125 0.250 0.875
0.250 0.625 0.875
0.125 0.375 0.250
0.000 0.500 0.000
0.000 0.000 0.000
0.375 0.250 0.125
0.500 0.000 0.500
0.500 0.500 0.000
0.125 0.750 0.375
0.750 0.125 0.875
0.750 0.625 0.375
0.375 0.125 0.750
0.625 0.875 0.250
0.500 0.500 0.500
0.500 0.000 0.000
0.000 0.000 0.500
0.250 0.375 0.625
0.250 0.875 0.125
0.000 0.500 0.500
0.875 0.250 0.625
0.625 0.750 0.875
0.875 0.625 0.750
0.720 0.136 0.048
0.328 0.548 0.412
0.952 0.364 0.280
0.548 0.220 0.136
0.584 0.720 0.672
0.952 0.588 0.172
0.328 0.780 0.416
0.088 0.916 0.136
0.588 0.952 0.672
0.720 0.584 0.172
0.780 0.452 0.364
0.828 0.912 0.048
0.136 0.720 0.548
0.364 0.412 0.084
0.084 0.912 0.364
0.416 0.136 0.588
0.084 0.172 0.220
0.452 0.672 0.088
0.828 0.916 0.280
0.136 0.416 0.088
0.364 0.952 0.780
0.588 0.636 0.416
0.912 0.828 0.548
0.780 0.328 0.916
0.412 0.364 0.584
0.088 0.172 0.452
0.220 0.672 0.084
0.172 0.084 0.720
0.636 0.048 0.220
0.864 0.584 0.912
0.548 0.328 0.912
0.584 0.864 0.412
0.916 0.828 0.780
0.916 0.088 0.636
0.864 0.280 0.452
0.172 0.088 0.952
0.636 0.588 0.916
0.412 0.048 0.328
0.280 0.416 0.828
0.220 0.548 0.636
0.912 0.084 0.864
0.672 0.220 0.584
0.452 0.780 0.864
0.048 0.412 0.828
0.416 0.280 0.328
0.048 0.636 0.720
0.672 0.452 0.588
0.280 0.864 0.952
```

Results
For the density of states at the Fermi level, the calculation gives 0.98 states/eV per atom. For the total moment, the calculation gives 2.22 μB/f.u. As for the energy relative to the elements, uncorrected: -984 meV/atom. For the total energy, the calculation gives -199.71 eV per cell.



Material: InRhCl2
Method: DFT, PBE-GGA
State: optimized geometry

```
InRhCl2
1.0
-1.382 -0.980 -3.042
-5.405 -1.046 2.793
-4.580 4.079 0.767
Cl Rh In
2 1 1
direct
0.000 0.896 0.896
0.000 0.604 0.604
0.500 0.750 0.750
0.500 0.250 0.250
```

Results
For the density of states at the Fermi level, the calculation gives 0.25 states/eV per atom. For the total moment, the calculation gives 0.00 μB/f.u. For the distance to the lowest polymorph of the same formula, the calculation gives 0.15 eV/f.u. As for the energy relative to the elements, uncorrected: -405 meV/atom. For the total energy, the calculation gives -15.40 eV per cell.



Material: Ni2AgHg
Method: DFT, PBE-GGA
State: optimized geometry

```
Ni2AgHg
1.0
5.272 0.020 0.025
2.503 4.640 -0.025
-3.361 -3.209 2.490
Ag Hg Ni
1 1 2
direct
0.513 0.513 0.000
0.236 0.736 0.500
0.981 0.981 0.000
0.770 0.270 0.500
```

Results
For the density of states at the Fermi level, the calculation gives 0.98 states/eV per atom. For the total moment, the calculation gives 0.31 μB/f.u. For the total energy, the calculation gives -13.70 eV per cell.



Material: AlTl2CrSe4
Method: DFT, PBE-GGA
State: optimized geometry

```
AlTl2CrSe4
1.0
-0.590 7.091 3.949
-7.885 0.459 -1.962
2.975 -6.678 3.821
Al Tl Cr Se
2 4 2 8
direct
0.500 0.500 0.500
0.000 0.000 0.000
0.500 0.000 0.000
0.500 0.000 0.500
0.000 0.000 0.500
0.500 0.500 0.000
0.000 0.500 0.000
0.000 0.500 0.500
0.188 0.731 0.960
0.769 0.312 0.540
0.231 0.688 0.460
0.812 0.269 0.040
0.770 0.730 0.960
0.770 0.730 0.540
0.230 0.270 0.460
0.230 0.270 0.040
```

Results
For the density of states at the Fermi level, the calculation gives 0.20 states/eV per atom. For the total moment, the calculation gives 3.09 μB/f.u. As for the energy relative to the elements, uncorrected: -480 meV/atom. For the total energy, the calculation gives -71.75 eV per cell.



Material: K2BaMn
Method: DFT, PBE-GGA
State: optimized geometry

```
K2BaMn
1.0
4.275 0.000 0.000
0.000 4.272 -0.020
0.000 4.309 11.287
Ba K Mn
1 2 1
direct
0.500 0.824 0.676
0.000 0.008 0.991
0.500 0.186 0.314
0.000 0.481 0.519
```

Results
For the density of states at the Fermi level, the calculation gives 1.41 states/eV per atom. For the total moment, the calculation gives 3.84 μB/f.u. For the distance to the lowest polymorph of the same formula, the calculation gives 0.00 eV/f.u. For the total energy, the calculation gives -11.36 eV per cell.



Material: LaYZnBi
Method: DFT, PBE-GGA
State: optimized geometry

```
LaYZnBi
1.0
-4.642 1.403 2.420
-3.683 -3.790 1.201
-0.886 -1.376 5.167
Y Zn Bi La
1 1 1 1
direct
0.750 0.750 0.750
0.000 0.000 0.000
0.500 0.500 0.500
0.250 0.250 0.250
```

Results
For the density of states at the Fermi level, the calculation gives 0.93 states/eV per atom. For the total moment, the calculation gives 0.00 μB/f.u. For the total energy, the calculation gives -18.43 eV per cell.



Material: NbReTc
Method: DFT, PBE-GGA
State: optimized geometry

```
NbReTc
1.0
3.175 0.000 0.000
0.000 3.175 0.000
-1.588 -1.588 4.734
Re Nb Tc
1 1 1
direct
0.285 0.285 0.570
0.950 0.950 0.899
0.615 0.615 0.231
```

Results
For the density of states at the Fermi level, the calculation gives 0.62 states/eV per atom. For the total moment, the calculation gives 0.00 μB/f.u. For the distance to the lowest polymorph of the same formula, the calculation gives 0.00 eV/f.u. For the total energy, the calculation gives -33.02 eV per cell.



Material: Hf2TiTl
Method: DFT, PBE-GGA
State: optimized geometry

```
Hf2TiTl
1.0
4.248 0.000 0.000
0.000 4.248 0.000
-2.124 -2.124 4.645
Hf Ti Tl
2 1 1
direct
0.500 0.500 0.000
0.750 0.250 0.500
0.250 0.750 0.500
0.000 0.000 0.000
```

Results
For the density of states at the Fermi level, the calculation gives 0.90 states/eV per atom. For the total moment, the calculation gives 0.00 μB/f.u. For the distance to the lowest polymorph of the same formula, the calculation gives 0.00 eV/f.u. For the total energy, the calculation gives -30.03 eV per cell.



Material: LiY2MoCl
Method: DFT, PBE-GGA
State: optimized geometry

```
LiY2MoCl
1.0
-0.048 -0.602 -5.233
-3.997 -1.796 0.244
-2.175 4.768 -0.529
Y Mo Li Cl
2 1 1 1
direct
0.000 0.000 0.500
0.500 0.000 0.000
0.000 0.500 0.000
0.500 0.500 0.500
0.000 0.000 0.000
```

Results
For the density of states at the Fermi level, the calculation gives 0.36 states/eV per atom. For the total moment, the calculation gives 0.00 μB/f.u. As for the energy relative to the elements, uncorrected: 100 meV/atom. For the total energy, the calculation gives -27.02 eV per cell.



Material: LaMg4Cr
Method: DFT, PBE-GGA
State: optimized geometry

```
LaMg4Cr
1.0
0.000 4.179 4.179
4.179 0.000 4.179
4.179 4.179 0.000
La Mg Cr
1 4 1
direct
0.000 0.000 0.000
0.873 0.376 0.376
0.376 0.376 0.873
0.376 0.873 0.376
0.376 0.376 0.376
0.750 0.750 0.750
```

Results
For the density of states at the Fermi level, the calculation gives 0.47 states/eV per atom. For the total moment, the calculation gives 3.11 μB/f.u. For the total energy, the calculation gives -19.81 eV per cell.



Material: MnReC2Cl
Method: DFT, PBE-GGA
State: optimized geometry

```
MnReC2Cl
1.0
-1.561 2.128 -2.446
1.298 -2.980 -3.420
-3.088 -1.804 0.400
Re C Mn Cl
1 2 1 1
direct
0.000 0.500 0.000
0.000 0.000 0.500
0.500 0.000 0.000
0.500 0.500 0.500
0.000 0.000 0.000
```

Results
For the density of states at the Fermi level, the calculation gives 1.43 states/eV per atom. For the total moment, the calculation gives 0.00 μB/f.u. As for the energy relative to the elements, uncorrected: 3312 meV/atom. For the total energy, the calculation gives -25.35 eV per cell.